No. 1
Density functional theory data (PBE) for a relaxed structure of RbBH2.

Unit cell a=16.657 b=3.311 c=4.690 alpha=90.00 beta=106.00 gamma=90.00
Space group Cm (No. 8)
Symmetry-distinct sites (fractional):
Rb 0.000 0.000 0.000
Rb 0.215 0.000 0.712
B 0.346 0.500 0.380
B 0.367 0.000 0.276
H 0.142 0.500 0.157
H 0.335 0.500 0.631
H 0.382 0.000 0.031
H 0.439 0.000 0.464

- Crystal system: monoclinic
- Total DFT energy (no corrections): -14.37 eV per formula unit

=====

No. 2
Density functional theory data (PBE) for a relaxed structure of NpTcN.

Unit cell a=4.011 b=4.011 c=6.205 alpha=90.00 beta=90.00 gamma=90.00
Space group I4mm (No. 107)
Symmetry-distinct sites (fractional):
Np 0.000 0.000 0.000
Tc 0.000 0.000 0.359
N 0.000 0.000 0.678

- Crystal system: tetragonal
- ΔE_f (raw): 416 meV per atom
- Total DFT energy (no corrections): -30.38 eV per formula unit

=====

No. 3
Density functional theory data (PBE) for a relaxed structure of LaHf3W.

Unit cell a=5.158 b=5.158 c=5.158 alpha=90.00 beta=90.00 gamma=90.00
Space group Pm-3m (No. 221)
Symmetry-distinct sites (fractional):
La 0.000 0.000 0.000
Hf 0.000 0.500 0.500
W 0.500 0.500 0.500

- Crystal system: cubic
- Formation energy from the elements: 2.9 eV/f.u.
- Total DFT energy (no corrections): -44.79 eV per formula unit

=====

No. 4
Density functional theory data (PBE) for a relaxed structure of Mg2CrCd.

Unit cell a=3.161 b=4.889 c=5.233 alpha=90.00 beta=90.00 gamma=90.00
Space group Pmm2 (No. 25)
Symmetry-distinct sites (fractional):
Mg 0.000 0.000 0.000
Mg 0.000 0.500 0.351
Cr 0.500 0.000 0.495
Cd 0.500 0.500 0.834

- Crystal system: orthorhombic
- Formation energy from the elements: 0.9 eV/f.u.
- Total DFT energy (no corrections): -12.85 eV per formula unit

=====

No. 5
Density functional theory data (PBE) for a relaxed structure of Ac3GaRu.

Unit cell a=16.038 b=4.421 c=11.098 alpha=90.00 beta=123.35 gamma=90.00
Space group C2/m (No. 12)
Symmetry-distinct sites (fractional):
Ac 0.102 0.000 0.452
Ac 0.130 0.500 0.193
Ac 0.167 0.500 0.812
Ga 0.070 0.000 0.925
Ru 0.234 0.500 0.589

- Crystal system: monoclinic
- Formation energy from the elements: -1.1 eV/f.u.
- Total DFT energy (no corrections): -25.73 eV per formula unit

=====

No. 6
Density functional theory data (PBE) for a relaxed structure of TcNi2GeTe.

Unit cell a=4.583 b=4.583 c=5.029 alpha=90.00 beta=90.00 gamma=90.00
Space group P4/mmm (No. 123)
Symmetry-distinct sites (fractional):
Tc 0.000 0.000 0.000
Ni 0.000 0.500 0.000
Ge 0.500 0.500 0.500
Te 0.000 0.000 0.500

- Crystal system: tetragonal
- ΔE_f (raw): 987 meV per atom
- Total DFT energy (no corrections): -24.75 eV per formula unit

=====

No. 7
Density functional theory data (PBE) for a relaxed structure of K2TcF.

Unit cell a=8.084 b=8.084 c=8.084 alpha=90.00 beta=90.00 gamma=90.00
Space group Fm-3m (No. 225)
Symmetry-distinct sites (fractional):
K 0.250 0.250 0.250
Tc 0.000 0.000 0.000
F 0.000 0.000 0.500

- Crystal system: cubic
- ΔE_f (raw): 349 meV per atom
- Total DFT energy (no corrections): -13.04 eV per formula unit

=====

No. 8
Density functional theory data (PBE) for a relaxed structure of Li8Ga2Sn3.

Unit cell a=5.4937 b=5.4937 c=29.0333 alpha=90.00 beta=90.00 gamma=120.00
Space group R-3m (No. 166, hexagonal axes)
Symmetry-distinct sites (fractional):
Li 0.0000 0.0000 0.2239
Li 0.0036 0.5018 0.2695
Ga 0.0000 0.0000 0.1389
Sn 0.0000 0.0000 0.3177
Sn 0.0000 0.0000 0.5000

- Crystal system: trigonal
- Formation energy from the elements: -2.3 eV/f.u.
- Total DFT energy (no corrections): -35.63 eV per formula unit

=====

No. 9
Density functional theory data (PBE) for a relaxed structure of Pr2NiSn3.

Unit cell a=4.371 b=4.614 c=7.913 alpha=90.00 beta=90.00 gamma=90.00
Space group Pmm2 (No. 25)
Symmetry-distinct sites (fractional):
Pr 0.000 0.000 0.000
Pr 0.000 0.500 0.482
Ni 0.500 0.000 0.294
Sn 0.500 0.000 0.608
Sn 0.500 0.500 0.179
Sn 0.500 0.500 0.821

- Crystal system: orthorhombic
- Formation energy from the elements: -3.4 eV/f.u.
- Total DFT energy (no corrections): -30.74 eV per formula unit

=====

No. 10
Density functional theory data (PBE) for a relaxed structure of TbPmMgHg.

Unit cell a=3.809 b=3.809 c=7.535 alpha=90.00 beta=90.00 gamma=90.00
Space group P4mm (No. 99)
Symmetry-distinct sites (fractional):
Tb 0.000 0.000 0.000
Pm 0.000 0.000 0.505
Mg 0.500 0.500 0.246
Hg 0.500 0.500 0.766

- Crystal system: tetragonal
- Formation energy from the elements: -1.1 eV/f.u.
- Total DFT energy (no corrections): -12.42 eV per formula unit

=====

What did the first record say?
Density functional theory data (PBE) for a relaxed structure of RbBH2.

Unit cell a=16.657 b=3.311 c=4.690 alpha=90.00 beta=106.00 gamma=90.00
Space group Cm (No. 8)
Symmetry-distinct sites (fractional):
Rb 0.000 0.000 0.000
Rb 0.215 0.000 0.712
B 0.346 0.500 0.380
B 0.367 0.000 0.276
H 0.142 0.500 0.157
H 0.335 0.500 0.631
H 0.382 0.000 0.031
H 0.439 0.000 0.464

- Crystal system: monoclinic
- Total DFT energy (no corrections): -14.37 eV per formula unit